A crystal of LiPRh2 relaxed with PBEsol, computed with SCAN.

The value obtained for the energy of formation is -175.9 meV/atom. The magnetization comes out at 0.0 μB per cell. As for the volume: 12.63 Å³ per atom.

The space group is F-43m (No. 216) and the conventional cell measures 5.868, 5.868 and 5.868 Å, with angles of 90.00, 90.00 and 90.00 degrees. The distinct sites, in fractional coordinates, are Li at (0.000, 0.000, 0.000), P at (0.250, 0.250, 0.750), Rh at (0.000, 0.000, 0.500) and Rh at (0.250, 0.250, 0.250).